No. 1
First-principles (GGA-PBE) data for a geometry-optimized Np3Tl3AuS8 structure, as listed in Alexandria via LeMat-Bulk.

Structure (POSCAR):
```
Np3Tl3AuS8
1.0
-7.940 -2.516 -0.053
5.910 -4.890 1.304
-1.700 5.228 6.505
Tl S Au Np
3 8 1 3
Direct
0.000 0.500 0.000
0.000 0.000 0.000
0.500 0.500 0.000
0.790 0.580 0.325
0.734 0.468 0.697
0.737 0.054 0.287
0.683 0.946 0.713
0.263 0.946 0.713
0.317 0.054 0.287
0.266 0.532 0.303
0.210 0.420 0.675
0.000 0.000 0.500
0.500 0.000 0.500
0.500 0.500 0.500
0.000 0.500 0.500
```

uncorrected formation energy: -81 kJ per mole of atoms
M_tot: 0.60 μB/atom
symmetry: No. 12
crystal system: monoclinic

No. 2
First-principles (GGA-PBE) data for a geometry-optimized PrTmAgHg structure, as listed in Alexandria via LeMat-Bulk.

Structure (POSCAR):
```
PrTmAgHg
1.0
3.691 0.000 0.000
0.000 3.691 0.000
0.000 0.000 7.590
Hg Ag Tm Pr
1 1 1 1
Direct
0.500 0.500 0.131
0.500 0.500 0.579
0.000 0.000 0.365
0.000 0.000 0.853
```

M_tot: 0.05 μB/atom
energy above the lowest structure with this stoichiometry: 0.000 eV per atom
symmetry: No. 99
crystal system: tetragonal
ΔH_f (0 K): -381 meV/atom

No. 3
First-principles (GGA-PBE) data for a geometry-optimized LiCdHgAu structure, as listed in Alexandria via LeMat-Bulk.

Structure (POSCAR):
```
LiCdHgAu
1.0
4.774 0.000 0.000
2.387 4.134 0.000
2.387 1.378 3.898
Hg Au Cd Li
1 1 1 1
Direct
0.250 0.250 0.250
0.750 0.750 0.750
0.000 0.000 0.000
0.500 0.500 0.500
```

M_tot: 0.00 μB/atom
energy above the lowest structure with this stoichiometry: 0.009 eV per atom
symmetry: No. 216
crystal system: cubic
ΔH_f (0 K): -269 meV/atom

No. 4
First-principles (GGA-PBE) data for a geometry-optimized BAsRh3 structure, as listed in Alexandria via LeMat-Bulk.

Structure (POSCAR):
```
BAsRh3
1.0
-3.276 -1.774 1.778
2.405 -1.374 3.061
-0.724 3.465 2.124
As B Rh
1 1 3
Direct
0.500 0.500 0.500
0.000 0.000 0.000
0.000 0.500 0.000
0.000 0.000 0.500
0.500 0.000 0.000
```

M_tot: 0.00 μB/atom
energy above the lowest structure with this stoichiometry: 0.000 eV per atom
symmetry: No. 221
crystal system: cubic
ΔH_f (0 K): 12 meV/atom

Question: Look up the M_tot of the third one.
Answer: 0.00 μB/atom